Rb2TeC, relaxed, DFT PBE; energy relative to the lowest polymorph listed for this composition = 274.1 meV per atom; total moment = 2.00 μB per cell; formation energy without anion corrections = 902 meV/atom; electronic total energy = -2.67 eV per atom; symmetry = Fm-3m (225)
1.0
5.5327 -0.8564 2.0952
1.4733 1.9776 5.4454
0.9463 -3.8911 4.4382
C Te Rb
1 1 2
Cartesian
0.0000 0.0000 0.0000
3.9762 -1.3849 5.9894
1.9881 -0.6925 2.9947
5.9643 -2.0774 8.9840